No. 1
Material: PaSi2Ni9
Method: DFT, PBE
State: relaxed

extended XYZ file:
```
24
Lattice="-4.884 4.884 3.075 4.884 -4.884 3.075 4.884 4.884 -3.075" Properties=species:S:1:pos:R:3 pbc="T T T"
Pa 4.884 2.442 0.769
Pa 0.000 2.442 2.306
Si 0.000 0.000 0.000
Si 2.442 2.442 -1.537
Si 2.442 -2.442 1.537
Si 0.000 4.884 0.000
Ni 4.884 -2.442 2.306
Ni 3.681 -0.473 1.130
Ni 6.086 -0.473 1.130
Ni 1.969 1.239 0.407
Ni 7.799 1.239 0.407
Ni 3.681 4.411 -1.130
Ni 1.203 -0.473 1.944
Ni 1.969 3.644 0.407
Ni 2.915 -1.239 3.482
Ni 1.969 6.123 -0.407
Ni 2.915 1.239 2.668
Ni 3.681 5.357 1.130
Ni 1.203 0.473 4.205
Ni -2.915 3.644 2.668
Ni 2.915 3.644 2.668
Ni -1.203 5.357 1.944
Ni 1.203 5.357 1.944
Ni 0.000 7.326 0.769
```

Output
DOS at the Fermi energy in states/eV per cell: 15.16
Calculated total energy in eV/atom: -6.514
Crystal system: tetragonal



No. 2
Material: Na2CaSbTe4
Method: DFT, PBE
State: relaxed

extended XYZ file:
```
8
Lattice="7.887 0.000 0.000 0.000 4.256 0.000 -2.343 0.000 7.708" Properties=species:S:1:pos:R:3 pbc="T T T"
Na 0.000 0.000 0.000
Na 3.943 2.128 0.000
Ca -1.171 2.128 3.854
Sb 2.772 0.000 3.854
Te 0.292 0.000 5.672
Te 1.467 2.128 2.083
Te 4.077 2.128 5.625
Te 5.252 0.000 2.036
```

Output
DOS at the Fermi energy in states/eV per cell: 5.45
Calculated total energy in eV/atom: -3.414
Crystal system: monoclinic



No. 3
Material: NdPuTlIr
Method: DFT, PBE
State: relaxed

extended XYZ file:
```
4
Lattice="0.000 3.670 3.670 3.670 0.000 3.670 3.670 3.670 0.000" Properties=species:S:1:pos:R:3 pbc="T T T"
Nd 0.000 0.000 0.000
Pu 3.670 3.670 3.670
Tl 1.835 1.835 1.835
Ir 5.505 5.505 5.505
```

Output
DOS at the Fermi energy in states/eV per cell: 8.58
Crystal system: cubic
E_form in eV per atom: -0.19



No. 4
Material: PmTm4Ru2
Method: DFT, PBE
State: relaxed

extended XYZ file:
```
14
Lattice="7.654 0.000 0.000 0.000 6.311 0.000 -3.054 0.000 7.320" Properties=species:S:1:pos:R:3 pbc="T T T"
Pm -0.355 1.578 1.199
Pm 4.954 4.733 6.121
Tm 0.087 3.159 4.273
Tm 0.087 6.307 4.273
Tm 1.723 4.733 1.867
Tm 2.870 1.578 0.140
Tm 1.729 4.733 7.180
Tm 2.876 1.578 5.453
Tm 4.512 0.004 3.047
Tm 4.512 3.151 3.047
Ru -2.058 1.578 5.380
Ru 2.047 1.578 2.734
Ru 2.552 4.733 4.586
Ru 6.657 4.733 1.940
```

Output
DOS at the Fermi energy in states/eV per cell: 11.67
Crystal system: monoclinic
E_form in eV per atom: -0.29



No. 5
Material: MoRuRh
Method: DFT, PBE
State: relaxed

extended XYZ file:
```
6
Lattice="4.346 0.000 0.000 0.000 2.417 4.161 0.000 -2.417 4.161" Properties=species:S:1:pos:R:3 pbc="T T T"
Mo 1.086 -1.571 4.161
Mo 3.259 1.571 4.161
Ru 1.086 0.794 5.512
Ru 3.259 -0.794 5.512
Rh 1.086 0.804 2.726
Rh 3.259 -0.804 2.726
```

Output
DOS at the Fermi energy in states/eV per cell: 5.81
Crystal system: orthorhombic
E_form in eV per atom: -0.11



No. 6
Material: ReAs2Cl
Method: DFT, PBE
State: relaxed

extended XYZ file:
```
4
Lattice="3.759 -1.584 0.000 3.759 1.584 0.000 -2.612 0.000 7.368" Properties=species:S:1:pos:R:3 pbc="T T T"
Re 0.000 0.000 0.000
As 2.226 0.000 1.224
As 2.680 0.000 6.144
Cl 2.453 0.000 3.684
```

Output
DOS at the Fermi energy in states/eV per cell: 1.98
Calculated total energy in eV/atom: -5.836
Crystal system: monoclinic



No. 7
Material: AcTb2PrDy5
Method: DFT, PBE
State: relaxed

extended XYZ file:
```
18
Lattice="-4.441 4.441 7.759 4.441 -4.441 7.759 4.441 4.441 -7.759" Properties=species:S:1:pos:R:3 pbc="T T T"
Ac 0.000 0.000 3.879
Ac 0.000 0.000 11.638
Tb 5.471 1.030 0.000
Tb 1.030 3.411 0.000
Tb 3.411 1.030 7.759
Tb -1.030 3.411 7.759
Pr 4.441 0.000 3.879
Pr 0.000 4.441 3.879
Dy 0.000 0.000 0.000
Dy 2.654 1.787 -1.979
Dy 2.654 -1.787 5.779
Dy 2.654 1.787 1.979
Dy 2.654 -1.787 9.738
Dy 0.000 0.000 7.759
Dy 1.787 6.228 -1.979
Dy 1.787 2.654 5.779
Dy 1.787 6.228 1.979
Dy 1.787 2.654 9.738
```

Output
DOS at the Fermi energy in states/eV per cell: 22.54
Crystal system: tetragonal
E_form in eV per atom: 0.26



No. 8
Material: PmNd5In4
Method: DFT, PBE
State: relaxed

extended XYZ file:
```
10
Lattice="3.645 0.000 0.000 0.000 3.645 0.000 0.000 0.000 22.750" Properties=species:S:1:pos:R:3 pbc="T T T"
Pm 0.000 0.000 0.000
Nd 1.823 1.823 2.658
Nd 1.823 1.823 7.008
Nd 1.823 1.823 11.375
Nd 1.823 1.823 15.742
Nd 1.823 1.823 20.092
In 0.000 0.000 4.816
In 0.000 0.000 9.192
In 0.000 0.000 13.557
In 0.000 0.000 17.933
```

Output
DOS at the Fermi energy in states/eV per cell: 8.80
Crystal system: tetragonal
E_form in eV per atom: -0.38